Below is an optimized crystal structure of YErTh2S4, with properties calculated at the PBE level.

VASP energy = -57.6 eV per cell
Mass density = 7.973 g/cm³

Unit cell a=6.7319 b=3.9206 c=7.0711 alpha=90.00 beta=108.77 gamma=90.00
Space group P2/m (No. 10)
Symmetry-distinct sites (fractional):
Y 0.0000 0.0000 0.0000 [1 per cell]
Er 0.5000 0.5000 0.0000 [1 per cell]
Th 0.0000 0.5000 0.5000 [1 per cell]
Th 0.5000 0.0000 0.5000 [1 per cell]
S 0.2470 0.5000 0.2331 [2 per cell]
S 0.2581 0.0000 0.7684 [2 per cell]

=====

Below is an optimized crystal structure of ErTi6S8, with properties calculated at the PBE level.

VASP energy = -314.3 eV per cell
Mass density = 4.223 g/cm³

Unit cell a=9.1913 b=9.1913 c=11.4638 alpha=90.00 beta=90.00 gamma=120.00
Space group R-3 (No. 148, hexagonal axes)
Symmetry-distinct sites (fractional):
Er 0.0000 0.0000 0.0000 [3 per cell]
Ti 0.0253 0.1978 0.3922 [18 per cell]
S 0.0000 0.0000 0.2414 [6 per cell]
S 0.0060 0.3822 0.2496 [18 per cell]

=====

Below is an optimized crystal structure of ErTiS3, with properties calculated at the PBE level.

VASP energy = -132.3 eV per cell
Mass density = 5.575 g/cm³

Unit cell a=7.8934 b=3.6380 c=12.9171 alpha=90.00 beta=90.00 gamma=90.00
Space group Pnma (No. 62)
Symmetry-distinct sites (fractional):
Er 0.0753 0.2500 0.1732 [4 per cell]
Ti 0.1514 0.7500 0.4564 [4 per cell]
S 0.0167 0.7500 0.6189 [4 per cell]
S 0.1550 0.7500 0.0174 [4 per cell]
S 0.1952 0.2500 0.7885 [4 per cell]

=====

So what do the calculations give for D(E_F)? Going down the list: 5.0 39.7 6.9 states/eV per cell.